Computed, not measured: an optimized crystal structure of CaZrGeC2 at the PBE-GGA level of DFT.

Cell and atoms, written as CIF:
```
data_CaZrGeC2
_cell_length_a 4.2805
_cell_length_b 5.7326
_cell_length_c 4.2805
_cell_angle_alpha 90.00
_cell_angle_beta 90.00
_cell_angle_gamma 90.00
_space_group_name_H-M_alt 'P 1'
_space_group_IT_number 1
_space_group_name_Hall 'P 1'
loop_
_atom_site_label
_atom_site_type_symbol
_atom_site_fract_x
_atom_site_fract_y
_atom_site_fract_z
C1 C 0.0000 0.0000 0.5000
C2 C 0.5000 0.0000 0.0000
Ge1 Ge 0.5000 0.5000 0.5000
Ca1 Ca 0.0000 0.0000 0.0000
Zr1 Zr 0.0000 0.5000 0.0000
```

Properties
The calculation puts the calculated volume at 105.0 Å³/f.u. The value obtained for the formation energy is 2.521 eV/atom. The calculation puts the theoretical density at 3.60 Mg/m³. The value obtained for the raw total energy is -21.0 eV for the cell shown.


Computed, not measured: an optimized crystal structure of MnCuSeN2 at the PBE-GGA level of DFT.

Cell and atoms, written as CIF:
```
data_MnCuSeN2
_cell_length_a 3.5493
_cell_length_b 3.5493
_cell_length_c 5.3803
_cell_angle_alpha 90.00
_cell_angle_beta 90.00
_cell_angle_gamma 90.00
_space_group_name_H-M_alt 'P 1'
_space_group_IT_number 1
_space_group_name_Hall 'P 1'
loop_
_atom_site_label
_atom_site_type_symbol
_atom_site_fract_x
_atom_site_fract_y
_atom_site_fract_z
Mn1 Mn 0.0000 0.0000 0.0000
Cu1 Cu 0.5000 0.5000 0.5000
Se1 Se 0.0000 0.0000 0.5000
N1 N 0.0000 0.5000 0.0000
N2 N 0.5000 0.0000 0.0000
```

Properties
The calculation puts the calculated volume at 67.8 Å³/f.u. The calculation puts the theoretical density at 5.52 Mg/m³. The value obtained for the raw total energy is -30.6 eV for the cell shown.


Computed, not measured: an optimized crystal structure of ScReCl3 at the PBE-GGA level of DFT.

Cell and atoms, written as CIF:
```
data_ScReCl3
_cell_length_a 4.7718
_cell_length_b 4.7718
_cell_length_c 4.7718
_cell_angle_alpha 90.00
_cell_angle_beta 90.00
_cell_angle_gamma 90.00
_space_group_name_H-M_alt 'P 1'
_space_group_IT_number 1
_space_group_name_Hall 'P 1'
loop_
_atom_site_label
_atom_site_type_symbol
_atom_site_fract_x
_atom_site_fract_y
_atom_site_fract_z
Sc1 Sc 0.5000 0.5000 0.5000
Re1 Re 0.0000 0.0000 0.0000
Cl1 Cl 0.0000 0.5000 0.0000
Cl2 Cl 0.0000 0.0000 0.5000
Cl3 Cl 0.5000 0.0000 0.0000
```

Properties
The calculation puts the calculated volume at 108.7 Å³/f.u. The calculation puts the theoretical density at 5.16 Mg/m³. The value obtained for the raw total energy is -22.7 eV for the cell shown.